Below is a crystal of La2TlPt relaxed with PBEsol, with properties calculated at the SCAN level.

Values from the calculation:
- space-group type = C2/m (12)
- E above lowest polymorph (eV/atom) = 0.025
- calculated volume (Å³/atom) = 30.1
- DFT total energy (eV for the cell shown) = -232.47

```
La2TlPt
1.0
-1.595 2.389 2.898
-1.914 -0.409 -3.589
-2.460 -7.012 4.427
Tl Pt La
1 1 2
Direct
0.500 0.000 0.000
0.000 0.000 0.500
0.735 0.470 0.705
0.265 0.530 0.295
```

Below is a crystal of YAg2Au relaxed with PBEsol, with properties calculated at the SCAN level.

Values from the calculation:
- space-group type = P4mm (99)
- E above lowest polymorph (eV/atom) = 0.022
- calculated volume (Å³/atom) = 19.5
- DFT total energy (eV for the cell shown) = -161.69

```
YAg2Au
1.0
3.519 0.000 0.000
0.000 3.519 0.000
0.000 0.000 6.312
Y Au Ag
1 1 2
Direct
0.500 0.500 0.739
0.000 0.000 0.485
0.000 0.000 0.031
0.500 0.500 0.245
```

Below is a crystal of Li3LaO relaxed with PBEsol, with properties calculated at the SCAN level.

Values from the calculation:
- space-group type = Pm-3m (221)
- calculated volume (Å³/atom) = 16.2
- formation energy without anion corrections (meV/atom) = -444
- DFT total energy (eV for the cell shown) = -58.73

```
Li3LaO
1.0
-2.165 -3.465 -1.419
3.547 -2.422 0.502
-1.197 -0.912 4.054
Li O La
3 1 1
Direct
0.000 0.500 0.000
0.000 0.000 0.500
0.500 0.000 0.000
0.000 0.000 0.000
0.500 0.500 0.500
```

Below is a crystal of Hg2Pt relaxed with PBEsol, with properties calculated at the SCAN level.

Values from the calculation:
- space-group type = P4/mmm (123)
- E above lowest polymorph (eV/atom) = 0.000
- calculated volume (Å³/atom) = 21.8
- DFT total energy (eV for the cell shown) = -206.67

```
Hg2Pt
1.0
-0.855 -1.490 2.379
3.481 -3.114 -0.700
2.880 2.618 2.675
Hg Pt
2 1
Direct
0.500 0.000 0.500
0.500 0.500 0.000
0.000 0.000 0.000
```

Below is a crystal of Li2CoSiO4 relaxed with PBEsol, with properties calculated at the SCAN level.

Values from the calculation:
- space-group type = P2_1 (4)
- E above lowest polymorph (eV/atom) = 0.015
- calculated volume (Å³/atom) = 10.1
- formation energy without anion corrections (meV/atom) = -2371
- DFT total energy (eV for the cell shown) = -151.98

```
Li2CoSiO4
1.0
4.922 0.000 0.000
0.000 5.302 0.008
0.000 -0.056 6.220
Li Co Si O
4 2 2 8
Direct
0.000 0.160 0.265
0.500 0.840 0.735
0.498 0.337 0.500
0.998 0.663 0.500
0.500 0.328 0.006
0.000 0.672 0.994
0.994 0.171 0.744
0.494 0.829 0.256
0.099 0.315 0.972
0.599 0.685 0.028
0.106 0.315 0.534
0.606 0.685 0.466
0.658 0.179 0.753
0.158 0.821 0.247
0.099 0.877 0.752
0.599 0.123 0.248
```

Below is a crystal of Ir5Pt relaxed with PBEsol, with properties calculated at the SCAN level.

Values from the calculation:
- space-group type = P6/mmm (191)
- calculated volume (Å³/atom) = 16.1
- DFT total energy (eV for the cell shown) = -421.21

```
Ir5Pt
1.0
4.461 0.000 0.000
0.000 4.993 0.000
0.000 -2.497 4.324
Ir Pt
5 1
Direct
0.500 0.000 0.500
0.000 0.667 0.333
0.500 0.500 0.500
0.500 0.500 0.000
0.000 0.333 0.667
0.000 0.000 0.000
```

- DFT total energy of number 2 (YAg2Au)?
  -161.69 eV for the cell shown